Computed, not measured: a relaxed structure of Ni3PSe at the GGA-PBE level of DFT.

Values from the calculation:
Its crystal system is cubic. For the uncorrected formation energy, the calculation gives 0.651 eV per atom.

abc: 4.3512 4.3512 4.3512
angles: 90.00 90.00 90.00
With the nearest neighbours (Å) after each atom.
Sites, in units of the cell vectors:
P (0.5000, 0.5000, 0.5000)  12 Ni 3.08
Ni (0.5000, 0.0000, 0.0000)  2 Se 2.18
Ni (0.0000, 0.5000, 0.0000)  2 Se 2.18
Ni (0.0000, 0.0000, 0.5000)  2 Se 2.18
Se (0.0000, 0.0000, 0.0000)  6 Ni 2.18


Computed, not measured: a relaxed structure of NiPSe at the GGA-PBE level of DFT.

Values from the calculation:
Its crystal system is tetragonal. For the uncorrected formation energy, the calculation gives 0.092 eV per atom.

abc: 7.1399 7.1399 7.1399
angles: 157.88 157.88 31.49
With the nearest neighbours (Å) after each atom.
Sites, in units of the cell vectors:
P (0.3852, 0.3852, 0.0000)  4 Ni 2.36
Se (0.6314, 0.6314, 0.0000)  4 Se 2.74, 4 Ni 2.81
Ni (0.9835, 0.9835, 0.0000)  4 P 2.36


Computed, not measured: a relaxed structure of NiPSe at the GGA-PBE level of DFT.

Values from the calculation:
Its crystal system is cubic. For the uncorrected formation energy, the calculation gives 0.046 eV per atom.

abc: 4.1118 4.1118 4.1118
angles: 60.00 60.00 60.00
With the nearest neighbours (Å) after each atom.
Sites, in units of the cell vectors:
Se (0.5000, 0.5000, 0.5000)  4 Ni 2.52
Ni (0.2500, 0.2500, 0.2500)  4 Se 2.52, 4 P 2.52
P (0.0000, 0.0000, 0.0000)  4 Ni 2.52


Computed, not measured: a relaxed structure of Ni2PSe at the GGA-PBE level of DFT.

Values from the calculation:
Its crystal system is monoclinic. For the uncorrected formation energy, the calculation gives -0.280 eV per atom.

abc: 3.8560 3.8560 5.3641
angles: 86.75 86.75 48.38
With the nearest neighbours (Å) after each atom.
Sites, in units of the cell vectors:
P (0.5103, 0.5103, 0.2797)  5 Ni 2.24-2.29
Ni (0.7999, 0.7999, 0.4365)  3 P 2.25-2.29, 2 Se 2.44, 1 Ni 2.48
Ni (0.9445, 0.9445, 0.0026)  2 P 2.24, 3 Se 2.36-2.47, 1 Ni 2.48
Se (0.2453, 0.2453, 0.7812)  5 Ni 2.36-2.47


Computed, not measured: a relaxed structure of NiPSe at the GGA-PBE level of DFT.

Values from the calculation:
Its crystal system is tetragonal. For the uncorrected formation energy, the calculation gives 0.110 eV per atom.

abc: 5.9134 5.9134 5.9134
angles: 148.82 148.83 44.67
With the nearest neighbours (Å) after each atom.
Sites, in units of the cell vectors:
Se (0.3865, 0.3865, 0.0000)  1 P 2.29
P (0.5961, 0.5961, 0.0000)  1 Se 2.29, 4 Ni 2.41
Ni (0.0175, 0.0175, 0.0000)  4 P 2.41, 4 Se 2.67


Computed, not measured: a relaxed structure of Ni2PSe at the GGA-PBE level of DFT.

Values from the calculation:
Its crystal system is orthorhombic. For the uncorrected formation energy, the calculation gives 0.075 eV per atom.

abc: 4.3362 4.3362 4.3362
angles: 128.18 113.98 88.60
With the nearest neighbours (Å) after each atom.
Sites, in units of the cell vectors:
Ni (0.2076, 0.2076, 0.0000)  2 P 2.29
Ni (0.7924, 0.7924, 0.0000)  2 P 2.29
Se (0.5000, 0.0000, 0.5000)  8 Ni 2.62-2.69
P (0.0000, 0.5000, 0.5000)  4 Ni 2.29


Computed, not measured: a relaxed structure of Ni2PSe2 at the GGA-PBE level of DFT.

Values from the calculation:
Its crystal system is tetragonal. For the uncorrected formation energy, the calculation gives 0.253 eV per atom.

abc: 3.4682 3.4682 7.2816
angles: 76.22 76.22 90.00
With the nearest neighbours (Å) after each atom.
Sites, in units of the cell vectors:
P (0.0000, 0.0000, 0.0000)  8 Se 3.02
Ni (0.2500, 0.7500, 0.5000)  4 Se 2.40, 4 Ni 2.45
Ni (0.7500, 0.2500, 0.5000)  4 Se 2.40, 4 Ni 2.45
Se (0.3713, 0.3713, 0.2574)  4 Ni 2.40
Se (0.6287, 0.6287, 0.7426)  4 Ni 2.40


Computed, not measured: a relaxed structure of NiPSe at the GGA-PBE level of DFT.

Values from the calculation:
Its crystal system is monoclinic. For the uncorrected formation energy, the calculation gives -0.291 eV per atom.

abc: 5.6924 5.9078 5.9355
angles: 104.15 90.00 90.00
With the nearest neighbours (Å) after each atom.
Sites, in units of the cell vectors:
Ni (0.4854, 0.7575, 0.2680)  3 P 2.27-2.29, 3 Se 2.43-2.51
Ni (0.0146, 0.2575, 0.2680)  3 P 2.27-2.29, 3 Se 2.43-2.51
Ni (0.5146, 0.2425, 0.7320)  3 P 2.27-2.29, 3 Se 2.43-2.51
Ni (0.9854, 0.7425, 0.7320)  3 P 2.27-2.29, 3 Se 2.43-2.51
Se (0.6208, 0.3441, 0.1553)  1 P 2.36, 3 Ni 2.43-2.51
Se (0.8792, 0.8441, 0.1553)  1 P 2.36, 3 Ni 2.43-2.51
Se (0.3792, 0.6559, 0.8447)  1 P 2.36, 3 Ni 2.43-2.51
Se (0.1208, 0.1559, 0.8447)  1 P 2.36, 3 Ni 2.43-2.51
P (0.8756, 0.3575, 0.6388)  3 Ni 2.27-2.29, 1 Se 2.36
P (0.6244, 0.8575, 0.6388)  3 Ni 2.27-2.29, 1 Se 2.36
P (0.1244, 0.6425, 0.3612)  3 Ni 2.27-2.29, 1 Se 2.36
P (0.3756, 0.1425, 0.3612)  3 Ni 2.27-2.29, 1 Se 2.36


Across the entries above, theoretical density takes the values 5.77 5.43 5.70 6.34 5.07 6.79 6.17 5.79 g/cm3, respectively.
Across the entries above, Fermi-level density of states takes the values 6.72 1.32 0.97 1.57 1.49 2.01 4.49 7.91 states/eV per cell, respectively.
Across the entries above, VASP energy takes the values -4.60 -4.80 -4.85 -5.39 -4.78 -5.04 -4.54 -5.18 eV per atom, respectively.